# 1
{
  "formula": "BaYbAl3SiN4O3",
  "functional": "PBE",
  "state": "optimized geometry",
  "lattice": [[6.168, 0.000, 0.000], [-3.084, 5.341, 0.000], [0.000, 0.000, 10.189]],
  "species": ["Ba", "Ba", "Yb", "Yb", "Al", "Al", "Al", "Al", "Al", "Al", "Si", "Si", "N", "N", "N", "N", "N", "N", "N", "N", "O", "O", "O", "O", "O", "O"],
  "fractional_positions": [[0.333, 0.667, 0.000], [0.667, 0.333, 0.500], [0.333, 0.667, 0.382], [0.667, 0.333, 0.882], [0.166, 0.331, 0.687], [0.166, 0.834, 0.687], [0.331, 0.166, 0.187], [0.669, 0.834, 0.687], [0.834, 0.166, 0.187], [0.834, 0.669, 0.187], [0.000, 0.000, 0.449], [0.000, 0.000, 0.949], [0.000, 0.000, 0.268], [0.000, 0.000, 0.768], [0.152, 0.305, 0.506], [0.152, 0.848, 0.506], [0.305, 0.152, 0.006], [0.695, 0.848, 0.506], [0.848, 0.152, 0.006], [0.848, 0.695, 0.006], [0.024, 0.512, 0.741], [0.488, 0.512, 0.741], [0.488, 0.976, 0.741], [0.512, 0.024, 0.241], [0.512, 0.488, 0.241], [0.976, 0.488, 0.241]],
  "magnetic_moment_mub_per_fu": 0.93,
  "formation_energy_uncorrected_ev_per_atom": -1.953,
  "dos_ef_per_ev_fu": 12.7
}


# 2
{
  "formula": "BaAl2OsN",
  "functional": "PBE",
  "state": "optimized geometry",
  "lattice": [[5.185, 0.000, 0.000], [0.000, 5.185, 0.000], [0.000, 0.000, 3.842]],
  "species": ["Ba", "Al", "Al", "Os", "N"],
  "fractional_positions": [[0.000, 0.000, 0.000], [0.000, 0.500, 0.500], [0.500, 0.000, 0.500], [0.500, 0.500, 0.500], [0.500, 0.500, 0.000]],
  "magnetic_moment_mub_per_fu": 0.00,
  "formation_energy_uncorrected_ev_per_atom": 0.227,
  "dos_ef_per_ev_fu": 2.5
}


# 3
{
  "formula": "BaAl2OsN",
  "functional": "PBE",
  "state": "optimized geometry",
  "lattice": [[4.009, 0.000, 0.000], [0.000, 4.009, 0.000], [0.000, 0.000, 5.317]],
  "species": ["Ba", "Al", "Al", "Os", "N"],
  "fractional_positions": [[0.000, 0.000, 0.000], [0.000, 0.500, 0.500], [0.500, 0.000, 0.500], [0.500, 0.500, 0.000], [0.000, 0.000, 0.500]],
  "magnetic_moment_mub_per_fu": 0.00,
  "formation_energy_uncorrected_ev_per_atom": 0.484,
  "dos_ef_per_ev_fu": 1.9
}


# 4
{
  "formula": "Ba4Pa3AlN8",
  "functional": "PBE",
  "state": "optimized geometry",
  "lattice": [[6.270, -3.511, 0.000], [6.270, 3.511, 0.000], [-4.030, 0.000, 6.441]],
  "species": ["Ba", "Ba", "Ba", "Ba", "Pa", "Pa", "Pa", "Al", "N", "N", "N", "N", "N", "N", "N", "N"],
  "fractional_positions": [[0.000, 0.000, 0.000], [0.000, 0.500, 0.000], [0.500, 0.000, 0.000], [0.500, 0.500, 0.000], [0.000, 0.000, 0.500], [0.000, 0.500, 0.500], [0.500, 0.000, 0.500], [0.500, 0.500, 0.500], [0.222, 0.222, 0.673], [0.233, 0.715, 0.668], [0.257, 0.257, 0.314], [0.285, 0.767, 0.332], [0.715, 0.233, 0.668], [0.743, 0.743, 0.686], [0.767, 0.285, 0.332], [0.778, 0.778, 0.327]],
  "magnetic_moment_mub_per_fu": 0.00,
  "formation_energy_uncorrected_ev_per_atom": -1.029,
  "dos_ef_per_ev_fu": 4.4
}


# 5
{
  "formula": "BaAlSN2",
  "functional": "PBE",
  "state": "optimized geometry",
  "lattice": [[4.209, 0.000, 0.000], [0.000, 4.209, 0.000], [0.000, 0.000, 4.819]],
  "species": ["Ba", "Al", "S", "N", "N"],
  "fractional_positions": [[0.000, 0.000, 0.000], [0.500, 0.500, 0.500], [0.500, 0.500, 0.000], [0.000, 0.500, 0.500], [0.500, 0.000, 0.500]],
  "magnetic_moment_mub_per_fu": 3.00,
  "formation_energy_uncorrected_ev_per_atom": -0.128,
  "dos_ef_per_ev_fu": 1.4
}


# 6
{
  "formula": "BaAlSN2",
  "functional": "PBE",
  "state": "optimized geometry",
  "lattice": [[4.336, 0.000, 0.000], [0.000, 4.336, 0.000], [0.000, 0.000, 6.393]],
  "species": ["Ba", "Al", "S", "N", "N"],
  "fractional_positions": [[0.000, 0.000, 0.000], [0.500, 0.500, 0.500], [0.000, 0.000, 0.500], [0.000, 0.500, 0.000], [0.500, 0.000, 0.000]],
  "magnetic_moment_mub_per_fu": 0.50,
  "formation_energy_uncorrected_ev_per_atom": 1.652,
  "dos_ef_per_ev_fu": 4.0
}


# 7
{
  "formula": "BaTaAlN2",
  "functional": "PBE",
  "state": "optimized geometry",
  "lattice": [[4.005, 0.000, 0.000], [0.000, 4.005, 0.000], [0.000, 0.000, 5.310]],
  "species": ["Ba", "Ta", "Al", "N", "N"],
  "fractional_positions": [[0.000, 0.000, 0.000], [0.500, 0.500, 0.000], [0.000, 0.000, 0.500], [0.000, 0.500, 0.500], [0.500, 0.000, 0.500]],
  "magnetic_moment_mub_per_fu": 0.00,
  "formation_energy_uncorrected_ev_per_atom": 1.843,
  "dos_ef_per_ev_fu": 4.4
}


# 8
{
  "formula": "BaZrAlN3",
  "functional": "PBE",
  "state": "optimized geometry",
  "lattice": [[7.497, 0.000, 0.000], [0.000, 3.421, 0.000], [-2.224, 0.000, 7.769]],
  "species": ["Ba", "Ba", "Zr", "Zr", "Al", "Al", "N", "N", "N", "N", "N", "N"],
  "fractional_positions": [[0.200, 0.250, 0.222], [0.800, 0.750, 0.778], [0.342, 0.750, 0.870], [0.658, 0.250, 0.130], [0.098, 0.250, 0.607], [0.902, 0.750, 0.393], [0.141, 0.250, 0.847], [0.160, 0.750, 0.534], [0.453, 0.750, 0.135], [0.547, 0.250, 0.865], [0.840, 0.250, 0.466], [0.859, 0.750, 0.153]],
  "magnetic_moment_mub_per_fu": 0.00,
  "formation_energy_uncorrected_ev_per_atom": -1.149
}


# 9
{
  "formula": "BaNaAl2",
  "functional": "PBE",
  "state": "optimized geometry",
  "lattice": [[-2.562, 2.562, 10.535], [2.562, -2.562, 10.535], [2.562, 2.562, -10.535]],
  "species": ["Ba", "Ba", "Na", "Na", "Al", "Al", "Al", "Al"],
  "fractional_positions": [[0.000, 0.000, 0.000], [0.750, 0.250, 0.500], [0.250, 0.750, 0.500], [0.500, 0.500, 0.000], [0.305, 0.625, 0.180], [0.375, 0.555, 0.680], [0.445, 0.125, 0.820], [0.875, 0.695, 0.320]],
  "magnetic_moment_mub_per_fu": 0.00,
  "dos_ef_per_ev_fu": 2.3,
  "e_form_kj_per_mol_atoms": 22
}


# 10
{
  "formula": "BaNa2Al2",
  "functional": "PBE",
  "state": "optimized geometry",
  "lattice": [[8.793, 0.000, 0.000], [0.000, 8.793, 0.000], [0.000, 0.000, 4.147]],
  "species": ["Ba", "Ba", "Na", "Na", "Na", "Na", "Al", "Al", "Al", "Al"],
  "fractional_positions": [[0.000, 0.000, 0.000], [0.500, 0.500, 0.000], [0.175, 0.325, 0.500], [0.325, 0.825, 0.500], [0.675, 0.175, 0.500], [0.825, 0.675, 0.500], [0.107, 0.607, 0.000], [0.393, 0.107, 0.000], [0.607, 0.893, 0.000], [0.893, 0.393, 0.000]],
  "magnetic_moment_mub_per_fu": 0.23,
  "dos_ef_per_ev_fu": 2.8,
  "e_form_kj_per_mol_atoms": 19
}


# 11
{
  "formula": "BaNaAl",
  "functional": "PBE",
  "state": "optimized geometry",
  "lattice": [[3.939, -2.274, 0.000], [3.939, 2.274, 0.000], [-0.005, 0.000, 14.279]],
  "species": ["Ba", "Ba", "Na", "Na", "Al", "Al"],
  "fractional_positions": [[0.000, 0.000, 0.171], [0.000, 0.000, 0.829], [0.333, 0.334, 0.590], [0.666, 0.667, 0.410], [0.333, 0.333, 0.999], [0.667, 0.667, 0.001]],
  "magnetic_moment_mub_per_fu": 0.00,
  "dos_ef_per_ev_fu": 1.8,
  "e_form_kj_per_mol_atoms": -10
}


# 12
{
  "formula": "Ba2Na2Al",
  "functional": "PBE",
  "state": "optimized geometry",
  "lattice": [[-2.177, 2.177, 11.131], [2.177, -2.177, 11.131], [2.177, 2.177, -11.131]],
  "species": ["Ba", "Ba", "Na", "Na", "Al"],
  "fractional_positions": [[0.087, 0.087, 0.000], [0.913, 0.913, 0.000], [0.250, 0.750, 0.500], [0.750, 0.250, 0.500], [0.500, 0.500, 0.000]],
  "magnetic_moment_mub_per_fu": 0.00,
  "dos_ef_per_ev_fu": 4.0,
  "e_form_kj_per_mol_atoms": 4
}